A relaxed structure of ZnCu2As2, computed with GGA-PBE.

total magnetization = 0.0000 μB per atom
D(E_F) = 3.6 states/eV/cell
DFT formation energy = 0.190 eV/atom

Cell: 7.7998 7.7998 2.7006 Å, 90.00 90.00 90.00°
Closest atoms and distances in Å follow each position.
Space group P4/mbm (No. 127)
Unique sites:
Zn 0.0000 0.0000 0.0000 (multiplicity 2)  2 Zn 2.70, 4 As 2.97
Cu 0.1470 0.3530 0.5000 (multiplicity 4)  6 As 2.60-2.69, 2 Cu 2.70
As 0.1511 0.6511 0.0000 (multiplicity 4)  6 Cu 2.60-2.69, 2 As 2.70